Computed, not measured: a relaxed NaBiAu4 crystal at the GGA-PBE level of DFT.

The space group is F-43m (No. 216) and the conventional cell measures 8.015, 8.015 and 8.015 Å, with angles of 90.00, 90.00 and 90.00 degrees. Symmetry generates all atoms from Na at (0.000, 0.000, 0.000), Bi at (0.250, 0.250, 0.250) and Au at (0.125, 0.125, 0.625).

The value obtained for the magnetization is 0.000 Bohr magnetons per cell. The uncorrected energy comes out at -3.24 eV per atom.



Computed, not measured: a relaxed Cs3Y3SnSe8 crystal at the GGA-PBE level of DFT.

The space group is C2/m (No. 12) and the conventional cell measures 14.486, 8.361 and 9.848 Å, with angles of 90.00, 119.41 and 90.00 degrees. Symmetry generates all atoms from Cs at (0.000, 0.000, 0.000), Cs at (0.250, 0.250, 0.000), Y at (0.000, 0.500, 0.500), Y at (0.250, 0.250, 0.500), Sn at (0.000, 0.000, 0.500), Se at (0.020, 0.241, 0.319), Se at (0.221, 0.000, 0.681) and Se at (0.228, 0.500, 0.684).

The value obtained for the magnetization is 0.000 Bohr magnetons per cell. The uncorrected energy comes out at -5.04 eV per atom.



Computed, not measured: a relaxed SiSeCl2 crystal at the GGA-PBE level of DFT.

The space group is I4/mmm (No. 139) and the conventional cell measures 4.371, 4.371 and 8.512 Å, with angles of 90.00, 90.00 and 90.00 degrees. Symmetry generates all atoms from Si at (0.000, 0.000, 0.000), Se at (0.000, 0.000, 0.500) and Cl at (0.000, 0.500, 0.250).

The value obtained for the magnetization is 1.187 Bohr magnetons per cell. The energy above the most stable polymorph in this dataset is 810 meV per atom.



Computed, not measured: a relaxed KMgAs2 crystal at the GGA-PBE level of DFT.

The space group is P4/mmm (No. 123) and the conventional cell measures 3.187, 3.187 and 8.885 Å, with angles of 90.00, 90.00 and 90.00 degrees. Symmetry generates all atoms from K at (0.000, 0.000, 0.000), Mg at (0.000, 0.000, 0.500) and As at (0.500, 0.500, 0.289).

The value obtained for the magnetization is 0.000 Bohr magnetons per cell. The uncorrected energy comes out at -3.26 eV per atom.



Computed, not measured: a relaxed Li2Tm3NpSe6 crystal at the GGA-PBE level of DFT.

The space group is C2/m (No. 12) and the conventional cell measures 17.584, 4.018 and 8.089 Å, with angles of 90.00, 103.48 and 90.00 degrees. Symmetry generates all atoms from Li at (0.176, 0.000, 0.353), Tm at (0.000, 0.500, 0.500), Tm at (0.165, 0.000, 0.834), Np at (0.000, 0.500, 0.000), Se at (0.003, 0.000, 0.258), Se at (0.166, 0.500, 0.586) and Se at (0.170, 0.500, 0.090).

The value obtained for the magnetization is 9.579 Bohr magnetons per cell. The uncorrected energy comes out at -5.82 eV per atom.



Computed, not measured: a relaxed La3AlRe crystal at the GGA-PBE level of DFT.

The space group is Pm-3m (No. 221) and the conventional cell measures 5.490, 5.490 and 5.490 Å, with angles of 90.00, 90.00 and 90.00 degrees. Symmetry generates all atoms from La at (0.000, 0.000, 0.500), Al at (0.500, 0.500, 0.500) and Re at (0.000, 0.000, 0.000).

The value obtained for the magnetization is 0.000 Bohr magnetons per cell. The energy above the most stable polymorph in this dataset is 0 meV per atom.



Computed, not measured: a relaxed GdYTm crystal at the GGA-PBE level of DFT.

The space group is I4mm (No. 107) and the conventional cell measures 3.555, 3.555 and 15.014 Å, with angles of 90.00, 90.00 and 90.00 degrees. Symmetry generates all atoms from Gd at (0.000, 0.000, 0.000), Y at (0.000, 0.000, 0.671) and Tm at (0.000, 0.000, 0.334).

The value obtained for the magnetization is 14.582 Bohr magnetons per cell. The uncorrected energy comes out at -8.31 eV per atom.



Computed, not measured: a relaxed BaVInH2 crystal at the GGA-PBE level of DFT.

The space group is P4/mmm (No. 123) and the conventional cell measures 4.544, 4.544 and 6.855 Å, with angles of 90.00, 90.00 and 90.00 degrees. Symmetry generates all atoms from Ba at (0.000, 0.000, 0.000), V at (0.000, 0.000, 0.500), In at (0.500, 0.500, 0.500) and H at (0.000, 0.500, 0.000).

The value obtained for the magnetization is 4.068 Bohr magnetons per cell. The uncorrected energy comes out at -3.30 eV per atom.



Computed, not measured: a relaxed LiInSn crystal at the GGA-PBE level of DFT.

The space group is P4/nmm (No. 129, origin choice 2) and the conventional cell measures 4.209, 4.209 and 7.836 Å, with angles of 90.00, 90.00 and 90.00 degrees. Symmetry generates all atoms from Li at (0.250, 0.250, 0.234), In at (0.250, 0.750, 0.500) and Sn at (0.250, 0.250, 0.875).

The value obtained for the magnetization is 0.000 Bohr magnetons per cell. The uncorrected energy comes out at -2.98 eV per atom.



| no. | N(E_F) (states/eV/f.u.) | calculated volume (Å³ per atom) |
| --- | --- | --- |
| 1 | 2.25 | 21.5 |
| 2 | 1.52 | 34.6 |
| 3 | 3.14 | 20.3 |
| 4 | 0.89 | 22.6 |
| 5 | 13.29 | 23.2 |
| 6 | 5.00 | 33.1 |
| 7 | 4.77 | 31.6 |
| 8 | 4.90 | 28.3 |
| 9 | 1.34 | 23.1 |